*a*
A relaxed structure of KTe2, computed with GGA-PBE.

Computed properties:
total magnetic moment = 4.17 Bohr magnetons per cell
Fermi-level density of states = 18.042 states/eV/cell

abc: 8.4482 8.4482 8.4482
angles: 90.00 90.00 90.00
Last column: nearest neighbours and their distance in Å.
Space group Pa-3 (No. 205)
Inequivalent atoms, fractional coordinates:
1 K 0.0000 0.0000 0.0000 (multiplicity 4)  6 Te 3.62
2 Te 0.0918 0.5918 0.9082 (multiplicity 8)  1 Te 2.69

*b*
A relaxed structure of KTe2, computed with GGA-PBE.

Computed properties:
total magnetic moment = 0.00 Bohr magnetons per cell
Fermi-level density of states = 2.472 states/eV/cell

abc: 4.4307 4.4307 12.1648
angles: 90.00 90.00 90.00
Last column: nearest neighbours and their distance in Å.
Space group I4/mmm (No. 139)
Inequivalent atoms, fractional coordinates:
1 K 0.0000 0.0000 0.0000 (multiplicity 2)  2 Te 3.33
2 Te 0.0000 0.0000 0.2740 (multiplicity 4)  4 Te 3.19, 1 K 3.33

*c*
A relaxed structure of KTe2, computed with GGA-PBE.

Computed properties:
total magnetic moment = 0.00 Bohr magnetons per cell
Fermi-level density of states = 3.649 states/eV/cell

abc: 13.2356 6.6124 6.6588
angles: 90.00 120.03 90.00
Last column: nearest neighbours and their distance in Å.
Space group C2/m (No. 12)
Inequivalent atoms, fractional coordinates:
1 K 0.2487 0.0000 0.3404 (multiplicity 4)  8 Te 3.49-3.83
2 Te 0.1292 0.0000 0.7398 (multiplicity 4)  1 Te 2.76
3 Te 0.1296 0.5000 0.0196 (multiplicity 4)  1 Te 2.76

*d*
A relaxed structure of KTe2, computed with GGA-PBE.

Computed properties:
total magnetic moment = 0.00 Bohr magnetons per cell
Fermi-level density of states = 1.805 states/eV/cell

abc: 6.4246 6.4246 3.0112
angles: 90.00 90.00 90.00
Last column: nearest neighbours and their distance in Å.
Space group P4/mmm (No. 123)
Inequivalent atoms, fractional coordinates:
1 K 0.0000 0.0000 0.0000 (multiplicity 1)  2 K 3.01
2 Te 0.0000 0.5000 0.5000 (multiplicity 2)  2 Te 3.01

Result of the stability comparison: *d* is the least stable of them.